A plane-wave DFT calculation with PBE-GGA was carried out for a geometry-optimized Na3HoSc3Te8 structure.

a b c (Å): 8.3709 8.3709 9.0892
angles (deg): 117.41 117.41 60.06
Sites, in units of the cell vectors:
Na 0.0000 0.0000 0.0000
Na 0.0000 0.5000 0.0000
Na 0.5000 0.0000 0.0000
Ho 0.0000 0.0000 0.5000
Sc 0.0000 0.5000 0.5000
Sc 0.5000 0.0000 0.5000
Sc 0.5000 0.5000 0.5000
Te 0.2493 0.2493 0.7264
Te 0.2494 0.7283 0.7263
Te 0.2597 0.2597 0.2800
Te 0.2717 0.7506 0.2737
Te 0.7283 0.2494 0.7263
Te 0.7403 0.7403 0.7200
Te 0.7506 0.2717 0.2737
Te 0.7507 0.7507 0.2736

Results
E_form (uncorrected) in meV per atom: -1161
Fermi-level density of states in states/eV/cell: 5.1
Space group: C2/m (12)



A plane-wave DFT calculation with PBE-GGA was carried out for a geometry-optimized Na3HoSc2Te6 structure.

a b c (Å): 7.4456 7.4456 7.9395
angles (deg): 99.01 99.01 120.01
Sites, in units of the cell vectors:
Na 0.0000 0.0000 0.0000
Na 0.3370 0.6630 0.0000
Na 0.6630 0.3370 0.0000
Ho 0.5000 0.5000 0.5000
Sc 0.1674 0.8326 0.5000
Sc 0.8326 0.1674 0.5000
Te 0.0812 0.4251 0.2761
Te 0.2303 0.2303 0.7232
Te 0.4251 0.0812 0.2761
Te 0.5749 0.9188 0.7239
Te 0.7697 0.7697 0.2768
Te 0.9188 0.5749 0.7239

Results
E_form (uncorrected) in meV per atom: -1226
Space group: C2/m (12)



A plane-wave DFT calculation with PBE-GGA was carried out for a geometry-optimized NaHo2Sc3Te6 structure.

a b c (Å): 9.5658 9.5658 8.6077
angles (deg): 103.51 103.51 25.61
Sites, in units of the cell vectors:
Na 0.0000 0.0000 0.0000
Ho 0.3320 0.3320 0.6625
Ho 0.6680 0.6680 0.3375
Sc 0.0000 0.0000 0.5000
Sc 0.3356 0.3356 0.1796
Sc 0.6644 0.6644 0.8204
Te 0.1631 0.1631 0.5875
Te 0.1716 0.1716 0.0750
Te 0.4987 0.4987 0.2595
Te 0.5013 0.5013 0.7405
Te 0.8284 0.8284 0.9250
Te 0.8369 0.8369 0.4125

Results
E_form (uncorrected) in meV per atom: -1189
Fermi-level density of states in states/eV/cell: 5.6
Space group: C2/m (12)



A plane-wave DFT calculation with PBE-GGA was carried out for a geometry-optimized NaHo3Sc2Te6 structure.

a b c (Å): 9.6124 9.6124 8.6340
angles (deg): 102.94 102.94 25.79
Sites, in units of the cell vectors:
Na 0.0000 0.0000 0.0000
Ho 0.0000 0.0000 0.5000
Ho 0.3383 0.3383 0.1746
Ho 0.6617 0.6617 0.8254
Sc 0.3311 0.3311 0.6528
Sc 0.6689 0.6689 0.3472
Te 0.1688 0.1688 0.5791
Te 0.1698 0.1698 0.0935
Te 0.4940 0.4940 0.7471
Te 0.5060 0.5060 0.2529
Te 0.8302 0.8302 0.9065
Te 0.8312 0.8312 0.4209

Results
E_form (uncorrected) in meV per atom: -1212
Fermi-level density of states in states/eV/cell: 5.5
Space group: C2/m (12)



A plane-wave DFT calculation with PBE-GGA was carried out for a geometry-optimized NaHoScTl structure.

a b c (Å): 5.2507 5.2507 5.2507
angles (deg): 60.00 60.00 60.00
Sites, in units of the cell vectors:
Na 0.0000 0.0000 0.0000
Ho 0.2500 0.2500 0.2500
Sc 0.7500 0.7500 0.7500
Tl 0.5000 0.5000 0.5000

Results
Fermi-level density of states in states/eV/cell: 4.2
Space group: F-43m (216)
Energy of formation from the pure elements in eV/atom: -0.01



A plane-wave DFT calculation with PBE-GGA was carried out for a geometry-optimized NaHo3Se4 structure.

a b c (Å): 5.7212 9.2508 8.5611
angles (deg): 90.00 90.00 90.00
Sites, in units of the cell vectors:
Na 0.2500 0.2500 0.0947
Na 0.7500 0.7500 0.9053
Ho 0.2500 0.5406 0.6597
Ho 0.2500 0.7500 0.2451
Ho 0.2500 0.9594 0.6597
Ho 0.7500 0.0406 0.3403
Ho 0.7500 0.2500 0.7549
Ho 0.7500 0.4594 0.3403
Se 0.2500 0.0397 0.3430
Se 0.2500 0.2500 0.7622
Se 0.2500 0.4603 0.3430
Se 0.2500 0.7500 0.9064
Se 0.7500 0.2500 0.0936
Se 0.7500 0.5397 0.6570
Se 0.7500 0.7500 0.2378
Se 0.7500 0.9603 0.6570

Results
E_form (uncorrected) in meV per atom: -1537
Fermi-level density of states in states/eV/cell: 5.2
Space group: Pmmn (59)



A plane-wave DFT calculation with PBE-GGA was carried out for a geometry-optimized NaHoSe2 structure.

a b c (Å): 4.1134 4.1134 14.3158
angles (deg): 90.00 90.00 120.00
Sites, in units of the cell vectors:
Na 0.3333 0.6667 0.2500
Na 0.6667 0.3333 0.7500
Ho 0.0000 0.0000 0.0000
Ho 0.0000 0.0000 0.5000
Se 0.3333 0.6667 0.6123
Se 0.3333 0.6667 0.8877
Se 0.6667 0.3333 0.1123
Se 0.6667 0.3333 0.3877

Results
E_form (uncorrected) in meV per atom: -1687
Fermi-level density of states in states/eV/cell: 0.0
Space group: P6_3/mmc (194)



A plane-wave DFT calculation with PBE-GGA was carried out for a geometry-optimized NaHoSe2 structure.

a b c (Å): 7.6356 7.6356 7.6356
angles (deg): 31.14 31.14 31.14
Sites, in units of the cell vectors:
Na 0.0000 0.0000 0.0000
Ho 0.1703 0.1703 0.1703
Se 0.5780 0.5780 0.5780
Se 0.7624 0.7624 0.7624

Results
E_form (uncorrected) in meV per atom: -1674
Fermi-level density of states in states/eV/cell: 0.0
Space group: R3m (160)



A plane-wave DFT calculation with PBE-GGA was carried out for a geometry-optimized NaHo3Se4 structure.

a b c (Å): 7.0651 7.0651 7.0651
angles (deg): 131.95 131.95 70.31
Sites, in units of the cell vectors:
Na 0.0000 0.0000 0.0000
Ho 0.2500 0.7500 0.5000
Ho 0.5000 0.5000 0.0000
Ho 0.7500 0.2500 0.5000
Se 0.0000 0.5000 0.5000
Se 0.2501 0.2501 0.0000
Se 0.5000 0.0000 0.5000
Se 0.7499 0.7499 0.0000

Results
E_form (uncorrected) in meV per atom: -1711
Fermi-level density of states in states/eV/cell: 1.8
Space group: I4/mmm (139)



A plane-wave DFT calculation with PBE-GGA was carried out for a geometry-optimized NaHo2Se3 structure.

a b c (Å): 7.1409 7.1409 7.1409
angles (deg): 146.86 132.27 59.34
Sites, in units of the cell vectors:
Na 0.0000 0.0000 0.0000
Ho 0.3367 0.3367 0.0000
Ho 0.6633 0.6633 0.0000
Se 0.1722 0.6722 0.5000
Se 0.5000 0.0000 0.5000
Se 0.8278 0.3278 0.5000

Results
E_form (uncorrected) in meV per atom: -1698
Fermi-level density of states in states/eV/cell: 1.9
Space group: Immm (71)



A plane-wave DFT calculation with PBE-GGA was carried out for a geometry-optimized NaHo6Se8 structure.

a b c (Å): 7.5820 7.5820 7.5820
angles (deg): 68.90 68.90 68.90
Sites, in units of the cell vectors:
Na 0.0000 0.0000 0.0000
Ho 0.0853 0.4579 0.6953
Ho 0.3047 0.9147 0.5421
Ho 0.4579 0.6953 0.0853
Ho 0.5421 0.3047 0.9147
Ho 0.6953 0.0853 0.4579
Ho 0.9147 0.5421 0.3047
Se 0.0956 0.8094 0.3658
Se 0.1906 0.6342 0.9044
Se 0.3247 0.3247 0.3247
Se 0.3658 0.0956 0.8094
Se 0.6342 0.9044 0.1906
Se 0.6753 0.6753 0.6753
Se 0.8094 0.3658 0.0956
Se 0.9044 0.1906 0.6342

Results
E_form (uncorrected) in meV per atom: -1661
Fermi-level density of states in states/eV/cell: 4.8
Space group: R-3 (148)



A plane-wave DFT calculation with PBE-GGA was carried out for a geometry-optimized NaHoSe2 structure.

a b c (Å): 7.3988 7.3988 7.3988
angles (deg): 32.40 32.40 32.40
Sites, in units of the cell vectors:
Na 0.0000 0.0000 0.0000
Ho 0.5000 0.5000 0.5000
Se 0.2428 0.2428 0.2428
Se 0.7572 0.7572 0.7572

Results
E_form (uncorrected) in meV per atom: -1706
Fermi-level density of states in states/eV/cell: 0.0
Space group: R-3m (166)



A plane-wave DFT calculation with PBE-GGA was carried out for a geometry-optimized NaHo4Se6 structure.

a b c (Å): 7.0465 7.0465 21.2329
angles (deg): 90.00 90.00 146.46
Sites, in units of the cell vectors:
Na 0.1586 0.8414 0.7500
Na 0.8414 0.1586 0.2500
Ho 0.0949 0.9051 0.1362
Ho 0.0949 0.9051 0.3638
Ho 0.3665 0.6335 0.0429
Ho 0.3665 0.6335 0.4571
Ho 0.6335 0.3665 0.5429
Ho 0.6335 0.3665 0.9571
Ho 0.9051 0.0949 0.6362
Ho 0.9051 0.0949 0.8638
Se 0.0000 0.0000 0.0000
Se 0.0000 0.0000 0.5000
Se 0.1837 0.8163 0.2500
Se 0.2739 0.7261 0.5812
Se 0.2739 0.7261 0.9188
Se 0.4573 0.5427 0.1602
Se 0.4573 0.5427 0.3398
Se 0.5427 0.4573 0.6602
Se 0.5427 0.4573 0.8398
Se 0.7261 0.2739 0.0812
Se 0.7261 0.2739 0.4188
Se 0.8163 0.1837 0.7500

Results
E_form (uncorrected) in meV per atom: -1746
Fermi-level density of states in states/eV/cell: 4.9
Space group: Cmcm (63)



A plane-wave DFT calculation with PBE-GGA was carried out for a geometry-optimized NaHo6Se8 structure.

a b c (Å): 8.0912 8.0912 8.0912
angles (deg): 60.00 60.00 60.00
Sites, in units of the cell vectors:
Na 0.0000 0.0000 0.0000
Ho 0.0000 0.0000 0.5000
Ho 0.0000 0.5000 0.0000
Ho 0.0000 0.5000 0.5000
Ho 0.5000 0.0000 0.0000
Ho 0.5000 0.0000 0.5000
Ho 0.5000 0.5000 0.0000
Se 0.2500 0.2500 0.2500
Se 0.2550 0.2550 0.7450
Se 0.2550 0.7450 0.2550
Se 0.2550 0.7450 0.7450
Se 0.7450 0.2550 0.2550
Se 0.7450 0.2550 0.7450
Se 0.7450 0.7450 0.2550
Se 0.7500 0.7500 0.7500

Results
E_form (uncorrected) in meV per atom: -1763
Fermi-level density of states in states/eV/cell: 4.2
Space group: Fm-3m (225)



A plane-wave DFT calculation with PBE-GGA was carried out for a geometry-optimized Na4SmHo3Se8 structure.

a b c (Å): 8.3082 8.3082 8.5003
angles (deg): 119.30 119.30 60.01
Sites, in units of the cell vectors:
Na 0.0000 0.0000 0.0000
Na 0.0000 0.5000 0.0000
Na 0.5000 0.0000 0.0000
Na 0.5000 0.5000 0.0000
Sm 0.0000 0.0000 0.5000
Ho 0.0000 0.5000 0.5000
Ho 0.5000 0.0000 0.5000
Ho 0.5000 0.5000 0.5000
Se 0.2463 0.2463 0.7303
Se 0.2463 0.7381 0.7303
Se 0.2573 0.2573 0.2724
Se 0.2619 0.7537 0.2697
Se 0.7381 0.2463 0.7303
Se 0.7427 0.7427 0.7276
Se 0.7537 0.2619 0.2697
Se 0.7537 0.7537 0.2697

Results
E_form (uncorrected) in meV per atom: -1702
Fermi-level density of states in states/eV/cell: 0.0
Space group: C2/m (12)



A plane-wave DFT calculation with PBE-GGA was carried out for a geometry-optimized Na2SmHo3Se6 structure.

a b c (Å): 7.1082 7.1082 7.2159
angles (deg): 99.45 99.45 119.95
Sites, in units of the cell vectors:
Na 0.1662 0.8338 0.0000
Na 0.8338 0.1662 0.0000
Sm 0.5000 0.5000 0.0000
Ho 0.0000 0.0000 0.5000
Ho 0.3320 0.6680 0.5000
Ho 0.6680 0.3320 0.5000
Se 0.0809 0.4138 0.7415
Se 0.2547 0.2547 0.2614
Se 0.4138 0.0809 0.7415
Se 0.5862 0.9191 0.2585
Se 0.7453 0.7453 0.7386
Se 0.9191 0.5862 0.2585

Results
E_form (uncorrected) in meV per atom: -1719
Fermi-level density of states in states/eV/cell: 3.1
Space group: C2/m (12)



A plane-wave DFT calculation with PBE-GGA was carried out for a geometry-optimized NaSm2HoSe4 structure.

a b c (Å): 7.1899 4.1241 7.1959
angles (deg): 90.00 109.05 90.00
Sites, in units of the cell vectors:
Na 0.0000 0.0000 0.0000
Sm 0.0000 0.5000 0.5000
Sm 0.5000 0.0000 0.5000
Ho 0.5000 0.5000 0.0000
Se 0.2531 0.5000 0.2461
Se 0.2548 0.0000 0.7592
Se 0.7452 0.0000 0.2408
Se 0.7469 0.5000 0.7539

Results
E_form (uncorrected) in meV per atom: -1742
Fermi-level density of states in states/eV/cell: 2.8
Space group: P2/m (10)



A plane-wave DFT calculation with PBE-GGA was carried out for a geometry-optimized NaSm3Ho2Se6 structure.

a b c (Å): 7.1296 7.1296 7.2098
angles (deg): 99.51 99.51 120.06
Sites, in units of the cell vectors:
Na 0.0000 0.0000 0.0000
Sm 0.1622 0.8378 0.5000
Sm 0.5000 0.5000 0.5000
Sm 0.8378 0.1622 0.5000
Ho 0.3344 0.6656 0.0000
Ho 0.6656 0.3344 0.0000
Se 0.0804 0.4167 0.2427
Se 0.2552 0.2552 0.7638
Se 0.4167 0.0804 0.2427
Se 0.5833 0.9196 0.7573
Se 0.7448 0.7448 0.2362
Se 0.9196 0.5833 0.7573

Results
E_form (uncorrected) in meV per atom: -1756
Fermi-level density of states in states/eV/cell: 4.9
Space group: C2/m (12)



A plane-wave DFT calculation with PBE-GGA was carried out for a geometry-optimized NaSm2Ho3Se6 structure.

a b c (Å): 9.2395 9.2395 8.2931
angles (deg): 103.37 103.37 25.59
Sites, in units of the cell vectors:
Na 0.0000 0.0000 0.0000
Sm 0.3293 0.3293 0.6561
Sm 0.6707 0.6707 0.3439
Ho 0.0000 0.0000 0.5000
Ho 0.3341 0.3341 0.1727
Ho 0.6659 0.6659 0.8273
Se 0.1621 0.1621 0.5902
Se 0.1685 0.1685 0.0768
Se 0.4992 0.4992 0.2552
Se 0.5008 0.5008 0.7448
Se 0.8315 0.8315 0.9232
Se 0.8379 0.8379 0.4098

Results
E_form (uncorrected) in meV per atom: -1758
Fermi-level density of states in states/eV/cell: 3.5
Space group: C2/m (12)



A plane-wave DFT calculation with PBE-GGA was carried out for a geometry-optimized Na3Ho2SnSe6 structure.

a b c (Å): 7.1745 7.1745 7.3944
angles (deg): 99.33 99.33 120.00
Sites, in units of the cell vectors:
Na 0.0000 0.0000 0.0000
Na 0.3365 0.6635 0.0000
Na 0.6635 0.3365 0.0000
Ho 0.1670 0.8330 0.5000
Ho 0.8330 0.1670 0.5000
Sn 0.5000 0.5000 0.5000
Se 0.0886 0.4233 0.2712
Se 0.2409 0.2409 0.7279
Se 0.4233 0.0886 0.2712
Se 0.5767 0.9114 0.7288
Se 0.7591 0.7591 0.2721
Se 0.9114 0.5767 0.7288

Results
E_form (uncorrected) in meV per atom: -1349
Fermi-level density of states in states/eV/cell: 4.1
Space group: C2/m (12)



A plane-wave DFT calculation with PBE-GGA was carried out for a geometry-optimized NaHo2Sn3Se6 structure.

a b c (Å): 9.4544 9.4544 9.0401
angles (deg): 103.63 103.63 24.83
Sites, in units of the cell vectors:
Na 0.0000 0.0000 0.0000
Ho 0.3339 0.3339 0.6693
Ho 0.6661 0.6661 0.3307
Sn 0.0000 0.0000 0.5000
Sn 0.3406 0.3406 0.1649
Sn 0.6594 0.6594 0.8351
Se 0.1701 0.1701 0.5580
Se 0.1754 0.1754 0.1131
Se 0.4904 0.4904 0.7415
Se 0.5096 0.5096 0.2585
Se 0.8246 0.8246 0.8869
Se 0.8299 0.8299 0.4420

Results
E_form (uncorrected) in meV per atom: -1002
Fermi-level density of states in states/eV/cell: 4.2
Space group: C2/m (12)